Model P:
CsAsIr3 | GGA-PBE | relaxed

POSCAR file:
```
CsAsIr3
1.0
4.9884 0.0000 0.0000
0.0000 4.9884 0.0000
0.0000 0.0000 4.9884
Ir Cs As
3 1 1
direct
0.0000 0.0000 0.5000
0.5000 0.0000 0.0000
0.0000 0.5000 0.0000
0.0000 0.0000 0.0000
0.5000 0.5000 0.5000
```

- Symmetry: Pm-3m
- DOS(E_F): 1.70 states/eV per atom

Model Q:
CsAsIr3 | GGA-PBE | relaxed

POSCAR file:
```
CsAsIr3
1.0
-3.2742 -3.4905 0.0689
3.4598 -3.2568 -0.5758
0.4668 -0.3441 4.7510
As Ir Cs
1 3 1
direct
0.0000 0.0000 0.0000
0.0000 0.0000 0.5000
0.0000 0.5000 0.0000
0.5000 0.0000 0.0000
0.5000 0.5000 0.5000
```

- Symmetry: Pm-3m
- DOS(E_F): 1.41 states/eV per atom

Need the numbers? Relative energies in kJ/mol of atoms: model P 196.1; model Q 0.0.

Model P:
CsAsPIrO | GGA-PBE | relaxed

POSCAR file:
```
CsAsPIrO
1.0
3.8436 0.0358 -0.0321
0.3610 4.5872 -0.0114
0.4640 2.0108 6.8261
P Ir O As Cs
1 1 1 1 1
direct
0.5318 0.6822 0.6287
0.0782 0.4221 0.5994
0.7285 0.5848 0.8305
0.5923 0.1971 0.4534
0.1329 0.9199 0.0625
```

- Symmetry: P1
- DOS(E_F): 0.02 states/eV per atom

Model Q:
CsAsPIrO | GGA-PBE | relaxed

POSCAR file:
```
CsAsPIrO
1.0
8.2800 0.0000 -0.0019
0.0000 4.3269 0.0000
-2.2792 0.0000 6.3227
O Ir As Cs P
2 2 2 2 2
direct
0.8553 0.0000 0.0753
0.8553 0.5000 0.5753
0.5452 0.5000 0.7988
0.5452 0.0000 0.2988
0.4537 0.0000 0.6109
0.4537 0.5000 0.1109
0.0653 0.0000 0.8023
0.0653 0.5000 0.3023
0.6550 0.0000 0.9998
0.6550 0.5000 0.4998
```

- Symmetry: Cm
- DOS(E_F): 0.06 states/eV per atom

Model R:
CsAsPIrO | GGA-PBE | relaxed

POSCAR file:
```
CsAsPIrO
1.0
-0.0604 -0.8914 -3.6718
-3.1451 -2.1206 -1.3754
-4.6423 6.4131 -3.4224
P As Cs O Ir
1 1 1 1 1
direct
0.3282 0.3248 0.4095
0.4391 0.8427 0.6699
0.8195 0.7013 0.0512
0.2160 0.1299 0.8297
0.9844 0.9563 0.4653
```

- Symmetry: Cm
- DOS(E_F): 0.37 states/eV per atom

Need the numbers? Relative energies in kJ/mol of atoms: model P 15.2; model Q 0.0; model R 20.8.

Model P:
CsAsPIrO | GGA-PBE | relaxed

POSCAR file:
```
CsAsPIrO
1.0
-6.3866 3.6469 3.3940
-2.0852 -0.6749 -3.1987
-0.9094 -7.5959 2.1957
Ir As P Cs O
2 2 2 2 2
direct
0.5283 0.5000 0.0095
0.5283 0.0000 0.5095
0.4424 0.0000 0.1928
0.4424 0.5000 0.6928
0.6700 0.5000 0.5141
0.6700 0.0000 0.0141
0.0687 0.5000 0.2832
0.0687 0.0000 0.7832
0.8650 0.5000 0.5430
0.8650 0.0000 0.0430
```

- Symmetry: Cm
- DOS(E_F): 0.27 states/eV per atom

Model Q:
CsAsPIrO | GGA-PBE | relaxed

POSCAR file:
```
CsAsPIrO
1.0
8.5680 0.0000 -0.0018
0.0000 3.4316 0.0000
-2.3752 0.0000 7.5062
O As P Cs Ir
2 2 2 2 2
direct
0.7671 0.5000 0.3493
0.7671 0.0000 0.8493
0.4177 0.0000 0.8696
0.4177 0.5000 0.3696
0.7421 0.0000 0.0427
0.7421 0.5000 0.5427
0.0741 0.0000 0.4627
0.0741 0.5000 0.9627
0.5735 0.5000 0.0948
0.5735 0.0000 0.5948
```

- Symmetry: Cm
- DOS(E_F): 0.32 states/eV per atom

Need the numbers? Relative energies in kJ/mol of atoms: model P 0.0; model Q 32.9.

Model P:
Cs2K2As | GGA-PBE | relaxed

POSCAR file:
```
Cs2K2As
1.0
-4.9642 2.3434 7.4261
-5.9097 -6.8687 -1.7830
3.9725 -4.4737 4.0673
K Cs As
4 4 2
direct
0.8026 0.3026 0.5000
0.1974 0.6974 0.5000
0.6974 0.8026 0.5000
0.3026 0.1974 0.5000
0.6511 0.1511 0.0000
0.3489 0.8489 0.0000
0.1511 0.3489 0.0000
0.8489 0.6511 0.0000
0.5000 0.5000 0.0000
0.0000 0.0000 0.0000
```

- Symmetry: P4/mbm
- DOS(E_F): 0.44 states/eV per atom

Model Q:
Cs2K2As | GGA-PBE | relaxed

POSCAR file:
```
Cs2K2As
1.0
8.8225 0.0000 0.0000
0.0000 8.8225 0.0000
0.0000 0.0000 6.9923
K As Cs
4 2 4
direct
0.3383 0.8383 0.0000
0.6617 0.1617 0.0000
0.1617 0.3383 0.0000
0.8383 0.6617 0.0000
0.0000 0.0000 0.0000
0.5000 0.5000 0.0000
0.7095 0.7905 0.5000
0.7905 0.2905 0.5000
0.2095 0.7095 0.5000
0.2905 0.2095 0.5000
```

- Symmetry: P4/mbm
- DOS(E_F): 0.49 states/eV per atom

Need the numbers? Relative energies in kJ/mol of atoms: model P 12.1; model Q 0.0.